(1)
The following is a PBE calculation of an optimized crystal structure of Ta2Cd3W4N3, from OQMD.

Cell and atoms, written as POSCAR:
```
Ta2Cd3W4N3
1.0
4.6143 -2.6818 0.0000
4.6143 2.6818 0.0000
-2.9418 0.0000 14.3159
Ta Cd W N
4 6 8 6
Direct
0.0211 0.8536 0.5900
0.1464 0.9789 0.9100
0.8536 0.0211 0.0900
0.9789 0.1464 0.4100
0.0814 0.2746 0.7452
0.2746 0.0814 0.2452
0.4422 0.5578 0.7500
0.5578 0.4422 0.2500
0.7254 0.9186 0.7548
0.9186 0.7254 0.2548
0.1921 0.3779 0.0769
0.3257 0.4516 0.4222
0.3779 0.1921 0.5769
0.4516 0.3257 0.9222
0.5484 0.6743 0.0778
0.6221 0.8079 0.4231
0.6743 0.5484 0.5778
0.8079 0.6221 0.9231
0.0000 0.5000 0.5000
0.1522 0.7016 0.9990
0.2984 0.8478 0.5010
0.5000 0.0000 0.0000
0.7016 0.1522 0.4990
0.8478 0.2984 0.0010
```

Computed properties:
- spin magnetization (Bohr magnetons per cell) = 0.00



(2)
The following is a PBE calculation of an optimized crystal structure of TbTlTe3Au, from OQMD.

Cell and atoms, written as POSCAR:
```
TbTlTe3Au
1.0
8.8565 0.0000 0.0000
0.0000 4.2221 0.0000
-3.8038 0.0000 10.2571
Tb Tl Te Au
2 2 6 2
Direct
0.1968 0.2500 0.1570
0.8032 0.7500 0.8430
0.2367 0.7500 0.7052
0.7633 0.2500 0.2948
0.0646 0.2500 0.8581
0.2453 0.2500 0.4518
0.4457 0.7500 0.1478
0.5543 0.2500 0.8522
0.7547 0.7500 0.5482
0.9354 0.7500 0.1419
0.4126 0.7500 0.3882
0.5874 0.2500 0.6118
```

Computed properties:
- spin magnetization (Bohr magnetons per cell) = 0.01
- offset from the most stable computed form (meV per atom) = 21



(3)
The following is a PBE calculation of an optimized crystal structure of GaFe2Bi, from OQMD.

Cell and atoms, written as POSCAR:
```
GaFe2Bi
1.0
6.4940 0.0000 0.0000
0.0000 6.4940 0.0000
0.0000 0.0000 6.4940
Ga Fe Bi
4 8 4
Direct
0.0000 0.0000 0.0000
0.0000 0.0000 0.5000
0.0000 0.5000 0.0000
0.5000 0.0000 0.0000
0.2093 0.2093 0.2093
0.2093 0.2093 0.7907
0.2093 0.7907 0.2093
0.2093 0.7907 0.7907
0.7907 0.2093 0.2093
0.7907 0.2093 0.7907
0.7907 0.7907 0.2093
0.7907 0.7907 0.7907
0.0000 0.5000 0.5000
0.5000 0.0000 0.5000
0.5000 0.5000 0.0000
0.5000 0.5000 0.5000
```

Computed properties:
- spin magnetization (Bohr magnetons per cell) = 19.21



(4)
The following is a PBE calculation of an optimized crystal structure of ZnCu2SnTe2Se2, from OQMD.

Cell and atoms, written as POSCAR:
```
ZnCu2SnTe2Se2
1.0
13.3085 0.0000 0.0000
0.0000 5.9600 0.0000
-2.6569 0.0000 5.3303
Zn Cu Sn Te Se
2 4 2 4 4
Direct
0.0000 0.0000 0.0000
0.5000 0.5000 0.0000
0.2499 0.4771 0.2730
0.2501 0.9771 0.7270
0.7501 0.4771 0.7270
0.7499 0.9771 0.2730
0.0000 0.4554 0.5000
0.5000 0.9554 0.5000
0.1381 0.7383 0.8974
0.3619 0.2383 0.1026
0.6381 0.2383 0.8974
0.8619 0.7383 0.1026
0.1347 0.2176 0.3737
0.3653 0.7176 0.6263
0.6347 0.7176 0.3737
0.8653 0.2176 0.6263
```

Computed properties:
- offset from the most stable computed form (meV per atom) = 0



(5)
The following is a PBE calculation of an optimized crystal structure of PrCoAs, from OQMD.

Cell and atoms, written as POSCAR:
```
PrCoAs
1.0
6.2722 0.0000 0.0000
0.0000 6.2722 0.0000
0.0000 0.0000 6.2722
Pr Co As
4 4 4
Direct
0.0000 0.0000 0.0000
0.0000 0.5000 0.5000
0.5000 0.0000 0.5000
0.5000 0.5000 0.0000
0.2500 0.2500 0.7500
0.2500 0.7500 0.2500
0.7500 0.2500 0.2500
0.7500 0.7500 0.7500
0.0000 0.0000 0.5000
0.0000 0.5000 0.0000
0.5000 0.0000 0.0000
0.5000 0.5000 0.5000
```

Computed properties:
- spin magnetization (Bohr magnetons per cell) = 4.01



(6)
The following is a PBE calculation of an optimized crystal structure of Nd2IrPbO6, from OQMD.

Cell and atoms, written as POSCAR:
```
Nd2IrPbO6
1.0
0.0000 4.1734 4.1734
4.1734 0.0000 4.1734
4.1734 4.1734 0.0000
Nd Ir Pb O
2 1 1 6
Direct
0.2500 0.2500 0.2500
0.7500 0.7500 0.7500
0.0000 0.0000 0.0000
0.5000 0.5000 0.5000
0.2363 0.2363 0.7637
0.2363 0.7637 0.2363
0.2363 0.7637 0.7637
0.7637 0.2363 0.2363
0.7637 0.2363 0.7637
0.7637 0.7637 0.2363
```

Computed properties:
- spin magnetization (Bohr magnetons per cell) = 0.56
- offset from the most stable computed form (meV per atom) = 484



Number 1: total DFT energy (no corrections) -8.52 eV per atom. Number 2: total DFT energy (no corrections) -3.96 eV per atom. Number 3: total DFT energy (no corrections) -5.59 eV per atom. Number 4: total DFT energy (no corrections) -3.55 eV per atom. Number 5: total DFT energy (no corrections) -6.03 eV per atom. Number 6: total DFT energy (no corrections) -6.71 eV per atom.